Entry from the Alexandria database: TiBrF2 after structural relaxation (GGA-PBEsol).

Lattice parameters (Å, degrees): 6.0799 6.0984 6.0799 60.10 90.00 119.90
Last column: nearest neighbours and their distance in Å.
Positions (direct):
Ti 0.2500 0.5000 0.2500  4 F 1.87
Ti 0.5000 0.0000 0.5000  4 F 1.87
Br 0.7500 0.5000 0.7500  12 F 3.57-3.58, 4 Br 3.73, 4 Ti 3.73
Br 0.0000 0.0000 0.0000  12 F 3.57-3.58, 4 Ti 3.73, 4 Br 3.73
F 0.3750 0.2500 0.3750  2 Ti 1.87
F 0.3750 0.7500 0.3750  2 Ti 1.87
F 0.3750 0.7500 0.8750  2 Ti 1.87
F 0.8750 0.2500 0.3750  2 Ti 1.87

Properties
total magnetic moment	0.96	μB per formula unit
crystal system	tetragonal
raw formation energy	-8.6	eV per formula unit


Entry from the Alexandria database: Ti2BrF2 after structural relaxation (GGA-PBEsol).

Lattice parameters (Å, degrees): 3.7746 3.7746 5.5651 109.82 109.82 90.00
Last column: nearest neighbours and their distance in Å.
Positions (direct):
Ti 0.2500 0.7500 0.5000  4 F 2.20
Ti 0.7500 0.2500 0.5000  4 F 2.20
F 0.6343 0.6343 0.2687  4 Ti 2.20
F 0.3657 0.3657 0.7313  4 Ti 2.20
Br 0.0000 0.0000 0.0000  8 F 2.97, 8 Ti 3.09

Properties
total magnetic moment	0.00	μB per formula unit
crystal system	tetragonal
raw formation energy	-7.2	eV per formula unit


Entry from the Alexandria database: Tl3BrF after structural relaxation (GGA-PBEsol).

Lattice parameters (Å, degrees): 6.0159 6.0159 6.0159 90.00 90.00 90.00
Last column: nearest neighbours and their distance in Å.
Positions (direct):
Tl 0.5000 0.0000 0.0000  2 Br 3.01
Tl 0.0000 0.5000 0.0000  2 Br 3.01
Tl 0.0000 0.0000 0.5000  2 Br 3.01
F 0.5000 0.5000 0.5000  12 Tl 4.25
Br 0.0000 0.0000 0.0000  6 Tl 3.01

Properties
total magnetic moment	0.00	μB per formula unit
crystal system	cubic
raw formation energy	-1.1	eV per formula unit


Entry from the Alexandria database: TlBr2F after structural relaxation (GGA-PBEsol).

Lattice parameters (Å, degrees): 3.9290 3.9290 8.5511 76.72 76.72 60.00
Last column: nearest neighbours and their distance in Å.
Positions (direct):
Tl 0.0000 0.0000 0.0000  2 Br 2.43
Br 0.0981 0.0981 0.7056  1 Tl 2.43
Br 0.9019 0.9019 0.2944  1 Tl 2.43
F 0.5000 0.5000 0.5000  6 Br 2.83

Properties
total magnetic moment	0.01	μB per formula unit
crystal system	trigonal
raw formation energy	-0.3	eV per formula unit


Entry from the Alexandria database: Y2BrF after structural relaxation (GGA-PBEsol).

Lattice parameters (Å, degrees): 4.7765 4.7765 4.7765 60.00 60.00 60.00
Last column: nearest neighbours and their distance in Å.
Positions (direct):
Br 0.5000 0.5000 0.5000  8 Y 2.93
F 0.0000 0.0000 0.0000  8 Y 2.93
Y 0.7500 0.7500 0.7500  4 Br 2.93, 4 F 2.93
Y 0.2500 0.2500 0.2500  4 F 2.93, 4 Br 2.93

Properties
total magnetic moment	0.00	μB per formula unit
crystal system	cubic
raw formation energy	-4.6	eV per formula unit


Entry from the Alexandria database: ZnBr3F after structural relaxation (GGA-PBEsol).

Lattice parameters (Å, degrees): 4.8124 4.8124 4.8124 90.00 90.00 90.00
Last column: nearest neighbours and their distance in Å.
Positions (direct):
Br 0.0000 0.0000 0.5000  2 F 2.41
Br 0.5000 0.0000 0.0000  2 F 2.41
Br 0.0000 0.5000 0.0000  2 F 2.41
Zn 0.5000 0.5000 0.5000  12 Br 3.40
F 0.0000 0.0000 0.0000  6 Br 2.41

Properties
total magnetic moment	0.00	μB per formula unit
crystal system	cubic
raw formation energy	1.4	eV per formula unit


Copy entry 5 word for word.
Entry from the Alexandria database: Y2BrF after structural relaxation (GGA-PBEsol).

Lattice parameters (Å, degrees): 4.7765 4.7765 4.7765 60.00 60.00 60.00
Last column: nearest neighbours and their distance in Å.
Positions (direct):
Br 0.5000 0.5000 0.5000  8 Y 2.93
F 0.0000 0.0000 0.0000  8 Y 2.93
Y 0.7500 0.7500 0.7500  4 Br 2.93, 4 F 2.93
Y 0.2500 0.2500 0.2500  4 F 2.93, 4 Br 2.93

Properties
total magnetic moment	0.00	μB per formula unit
crystal system	cubic
raw formation energy	-4.6	eV per formula unit


What did the sixth record say?
Entry from the Alexandria database: ZnBr3F after structural relaxation (GGA-PBEsol).

Lattice parameters (Å, degrees): 4.8124 4.8124 4.8124 90.00 90.00 90.00
Last column: nearest neighbours and their distance in Å.
Positions (direct):
Br 0.0000 0.0000 0.5000  2 F 2.41
Br 0.5000 0.0000 0.0000  2 F 2.41
Br 0.0000 0.5000 0.0000  2 F 2.41
Zn 0.5000 0.5000 0.5000  12 Br 3.40
F 0.0000 0.0000 0.0000  6 Br 2.41

Properties
total magnetic moment	0.00	μB per formula unit
crystal system	cubic
raw formation energy	1.4	eV per formula unit